# 1
First-principles (PBE-GGA) data for a geometry-optimized Al2BiAu2 structure, as listed in the Alexandria database.

Summary:
distance to the lowest polymorph of the same formula = 0.0 meV per atom
formation energy from the elements = -247 meV per atom
electronic total energy = -3.831 eV/atom
V = 102.7 Å³/f.u.

```
data_Al2BiAu2
_cell_length_a 4.1318
_cell_length_b 4.1318
_cell_length_c 12.0371
_cell_angle_alpha 90.00
_cell_angle_beta 90.00
_cell_angle_gamma 90.00
_symmetry_space_group_name_H-M 'I 4/m m m'
_symmetry_Int_Tables_number 139
_symmetry_space_group_name_Hall '-I 4 2'
loop_
_atom_site_label
_atom_site_fract_x
_atom_site_fract_y
_atom_site_fract_z
_atom_site_occupancy
Al1 0.0000 0.5000 0.2500 1
Bi1 0.0000 0.0000 0.0000 1
Au1 0.0000 0.0000 0.3806 1
```


# 2
First-principles (PBE-GGA) data for a geometry-optimized Al2BiAu4 structure, as listed in the Alexandria database.

Summary:
formation energy from the elements = -169 meV per atom
electronic total energy = -3.665 eV/atom
V = 148.7 Å³/f.u.

```
data_Al2BiAu4
_cell_length_a 4.6282
_cell_length_b 4.6506
_cell_length_c 14.3235
_cell_angle_alpha 95.76
_cell_angle_beta 99.25
_cell_angle_gamma 99.73
_symmetry_space_group_name_H-M 'P -1'
_symmetry_Int_Tables_number 2
_symmetry_space_group_name_Hall '-P 1'
loop_
_atom_site_label
_atom_site_fract_x
_atom_site_fract_y
_atom_site_fract_z
_atom_site_occupancy
Al1 0.1000 0.1844 0.0896 1
Al2 0.2113 0.4180 0.4382 1
Bi1 0.4289 0.0094 0.7700 1
Au1 0.1276 0.4567 0.2567 1
Au2 0.1535 0.3713 0.9170 1
Au3 0.2788 0.4146 0.6204 1
Au4 0.5000 0.0000 0.0000 1
Au5 0.5000 0.0000 0.5000 1
```


# 3
First-principles (PBE-GGA) data for a geometry-optimized Al2BiAuC structure, as listed in the Alexandria database.

Summary:
formation energy from the elements = 2085 meV per atom
electronic total energy = -2.688 eV/atom
V = 177.7 Å³/f.u.

```
data_Al2BiAuC
_cell_length_a 5.7456
_cell_length_b 5.7456
_cell_length_c 5.3828
_cell_angle_alpha 90.00
_cell_angle_beta 90.00
_cell_angle_gamma 90.00
_symmetry_space_group_name_H-M 'P 4/m m m'
_symmetry_Int_Tables_number 123
_symmetry_space_group_name_Hall '-P 4 2'
loop_
_atom_site_label
_atom_site_fract_x
_atom_site_fract_y
_atom_site_fract_z
_atom_site_occupancy
Al1 0.0000 0.5000 0.0000 1
Bi1 0.0000 0.0000 0.0000 1
Au1 0.0000 0.0000 0.5000 1
C1 0.5000 0.5000 0.5000 1
```